(1)
4
Lattice="3.7955 0.0000 0.0000 1.8977 3.2870 0.0000 1.8977 1.0957 5.6510" Properties=species:S:1:pos:R:3 comment="PBE PrSbH2, optimized geometry" total_energy_ev_per_atom=-4.269 volume_a3_per_cell=70.5 pbc="T T T"
Pr 0.0000 0.0000 0.0000
Sb 3.7955 2.1913 2.8255
H 1.8977 1.0957 0.5607
H 5.6932 3.2870 5.0903


(2)
80
Lattice="14.1254 0.0000 0.0000 -4.7085 13.3176 0.0000 -4.7085 -6.6588 11.5334" Properties=species:S:1:pos:R:3 comment="PBE Pr12Sb3H5, optimized geometry" total_energy_ev_per_atom=-4.757 volume_a3_per_cell=2169.6 pbc="T T T"
Sb 8.2398 4.1617 1.4417
Sb 8.2398 9.1558 1.4417
Sb -1.1771 5.8264 7.2084
Sb 1.1771 -0.8323 4.3250
Sb 10.5941 0.0000 2.8833
Sb 1.1771 6.6588 2.8833
Sb 3.5314 0.0000 8.6500
Sb -5.8856 6.6588 8.6500
Sb 3.5314 7.4911 7.2084
Sb 5.8856 0.8323 4.3250
Sb -3.5314 -2.4970 10.0917
Sb -3.5314 2.4970 10.0917
H -1.1771 3.3294 2.8833
H -2.3542 6.6588 0.0000
H 0.0000 0.0000 0.0000
H 3.5314 2.4970 1.4417
H 4.7085 -3.3294 5.7667
H 4.7085 6.6588 0.0000
H -3.5314 7.4911 4.3250
H 5.8856 -4.1617 10.0917
H 5.8856 5.8264 4.3250
H 1.1771 -3.3294 8.6500
H 3.5314 9.9882 2.8833
H 2.3542 3.3294 5.7667
H 7.0627 0.0000 0.0000
H -2.3542 -3.3294 5.7667
H -1.1771 0.8323 7.2084
H -1.1771 10.8205 1.4417
H -4.7085 3.3294 5.7667
H 8.2398 -0.8323 7.2084
H 1.1771 4.1617 10.0917
H 5.8856 3.3294 8.6500
Pr 9.4036 1.3773 0.1957
Pr 0.0134 4.1875 4.6718
Pr 10.6867 3.2287 3.3600
Pr 5.7930 2.0339 1.2906
Pr 1.8360 4.8319 7.9777
Pr 10.1819 6.6465 2.2110
Pr -1.2697 7.8536 4.6506
Pr -3.4388 11.2837 1.2906
Pr 0.5182 8.4857 7.9777
Pr 6.2978 6.6711 2.2110
Pr 7.0761 3.8485 4.4761
Pr 7.0761 11.9404 0.1957
Pr -4.1903 5.9954 5.9624
Pr 3.1192 4.7501 1.1161
Pr -4.7219 9.4691 4.4761
Pr 2.3676 -2.4713 6.8616
Pr -0.5182 1.1635 2.4067
Pr 3.1192 8.5797 1.0949
Pr 5.7930 10.0889 3.3600
Pr -0.7649 4.7379 1.0949
Pr -2.8724 7.8223 9.1267
Pr 3.6240 5.4640 4.6506
Pr 6.5445 7.3222 5.9624
Pr 5.4734 -1.9087 10.4172
Pr 1.0845 1.1948 6.8828
Pr -1.8360 -0.6634 5.5710
Pr -0.7649 8.5674 1.1161
Pr -1.0845 -3.4301 8.1734
Pr 7.5809 -1.1635 2.4067
Pr 5.4734 1.9209 10.4385
Pr 1.5893 -1.9209 10.4385
Pr 2.3408 9.1301 4.6718
Pr 5.2267 5.4953 9.1267
Pr 9.4304 -2.8103 7.0573
Pr 8.8988 0.6633 5.5710
Pr -2.3677 -5.2816 11.3377
Pr 1.5893 1.9087 10.4172
Pr 4.1903 -1.8269 3.5557
Pr -1.5893 -0.0123 9.3224
Pr -2.3676 2.8103 7.0573
Pr 8.1472 -4.6249 10.2428
Pr 5.9782 -1.1948 6.8828
Pr -1.0845 4.6249 10.2428
Pr -5.4734 0.0123 9.3224
Pr 2.8724 1.8269 3.5557
Pr -5.9782 3.4301 8.1734
Pr 4.6951 2.4713 6.8616
Pr -4.6951 5.2815 11.3377